Computed, not measured: an optimized crystal structure of CdCoO2 at the PBE with a Hubbard U level of DFT.

Computed properties:
The calculation puts the density at 7.17 g cm⁻³. Its space group is P3m1. Its total energy is -4.689 eV per atom. For the magnetic moment, the calculation gives 0.189 μB per formula unit.

a = 2.9089 Å, b = 2.9089 Å, c = 6.4262 Å
α = 90.00°, β = 90.00°, γ = 120.00°
Last column: nearest neighbours and their distance in Å.
Positions (direct):
Co 0.0000 0.0000 0.9910  6 O 1.93-1.95
O 0.3333 0.6667 0.8435  3 Co 1.93
O 0.6667 0.3333 0.1450  3 Co 1.95
Cd 0.3333 0.6667 0.4755  1 O 2.36